P:
{
  "formula": "CdGeIr3",
  "functional": "PBE",
  "state": "relaxed",
  "spacegroup": "No. 221",
  "lattice_angstrom": [[4.858, 0.000, 0.000], [0.000, 4.858, 0.000], [0.000, 0.000, 4.858]],
  "species": ["Ge", "Ir", "Ir", "Ir", "Cd"],
  "frac_coords": [[0.500, 0.500, 0.500], [0.000, 0.500, 0.000], [0.000, 0.000, 0.500], [0.500, 0.000, 0.000], [0.000, 0.000, 0.000]]
}


Q:
{
  "formula": "CdGeIr3",
  "functional": "PBE",
  "state": "relaxed",
  "spacegroup": "No. 221",
  "lattice_angstrom": [[4.576, 0.000, 0.000], [0.000, 4.576, 0.000], [0.000, 0.000, 4.576]],
  "species": ["Ge", "Ir", "Ir", "Ir", "Cd"],
  "frac_coords": [[0.000, 0.000, 0.000], [0.000, 0.500, 0.000], [0.000, 0.000, 0.500], [0.500, 0.000, 0.000], [0.500, 0.500, 0.500]]
}


From most stable to least stable, the computed energies give Q, P.


P:
{
  "formula": "K2Cd2Ge",
  "functional": "PBE",
  "state": "relaxed",
  "spacegroup": "No. 139",
  "lattice_angstrom": [[4.077, 0.000, 0.000], [0.000, 4.077, 0.000], [2.038, 2.038, 10.731]],
  "species": ["Ge", "K", "K", "Cd", "Cd"],
  "frac_coords": [[0.000, 0.000, 0.000], [0.404, 0.404, 0.191], [0.596, 0.596, 0.809], [0.750, 0.250, 0.500], [0.250, 0.750, 0.500]]
}


Q:
{
  "formula": "K2Cd2Ge",
  "functional": "PBE",
  "state": "relaxed",
  "spacegroup": "No. 127",
  "lattice_angstrom": [[-4.185, 0.050, -6.111], [-1.380, -7.223, 0.886], [-4.681, 1.288, 3.216]],
  "species": ["Ge", "Ge", "K", "K", "K", "K", "Cd", "Cd", "Cd", "Cd"],
  "frac_coords": [[0.000, 0.000, 0.000], [0.500, 0.500, 0.000], [0.183, 0.683, 0.500], [0.683, 0.817, 0.500], [0.817, 0.317, 0.500], [0.317, 0.183, 0.500], [0.359, 0.859, 0.000], [0.859, 0.641, 0.000], [0.641, 0.141, 0.000], [0.141, 0.359, 0.000]]
}


From most stable to least stable, the computed energies give Q, P.


P:
{
  "formula": "KCd2Ge2",
  "functional": "PBE",
  "state": "relaxed",
  "spacegroup": "No. 127",
  "lattice_angstrom": [[8.877, 0.000, 0.000], [0.000, 8.877, 0.000], [0.000, 0.000, 3.055]],
  "species": ["Ge", "Ge", "Ge", "Ge", "K", "K", "Cd", "Cd", "Cd", "Cd"],
  "frac_coords": [[0.161, 0.661, 0.500], [0.661, 0.839, 0.500], [0.839, 0.339, 0.500], [0.339, 0.161, 0.500], [0.000, 0.000, 0.000], [0.500, 0.500, 0.000], [0.369, 0.869, 0.000], [0.869, 0.631, 0.000], [0.631, 0.131, 0.000], [0.131, 0.369, 0.000]]
}


Q:
{
  "formula": "KCd2Ge2",
  "functional": "PBE",
  "state": "relaxed",
  "spacegroup": "No. 139",
  "lattice_angstrom": [[-4.447, 1.155, -0.996], [-1.491, -2.647, 3.587], [-2.581, 3.751, 4.775]],
  "species": ["Ge", "Ge", "K", "Cd", "Cd"],
  "frac_coords": [[0.389, 0.389, 0.222], [0.611, 0.611, 0.778], [0.000, 0.000, 0.000], [0.750, 0.250, 0.500], [0.250, 0.750, 0.500]]
}


From most stable to least stable, the computed energies give Q, P.


P:
{
  "formula": "KCd4Ge",
  "functional": "PBE",
  "state": "relaxed",
  "spacegroup": "No. 216",
  "lattice_angstrom": [[-0.678, -2.098, 5.616], [4.852, -1.158, 3.393], [1.295, 3.532, 4.716]],
  "species": ["Ge", "K", "Cd", "Cd", "Cd", "Cd"],
  "frac_coords": [[0.000, 0.000, 0.000], [0.250, 0.250, 0.250], [0.625, 0.625, 0.124], [0.625, 0.124, 0.625], [0.625, 0.625, 0.625], [0.124, 0.625, 0.625]]
}


Q:
{
  "formula": "KCd4Ge",
  "functional": "PBE",
  "state": "relaxed",
  "spacegroup": "No. 63",
  "lattice_angstrom": [[-8.224, 0.521, -3.546], [5.761, -3.779, 5.746], [-1.996, 5.145, 5.386]],
  "species": ["K", "K", "Cd", "Cd", "Cd", "Cd", "Cd", "Cd", "Cd", "Cd", "Ge", "Ge"],
  "frac_coords": [[0.877, 0.123, 0.750], [0.123, 0.877, 0.250], [0.500, 0.500, 0.500], [0.500, 0.500, 0.000], [0.325, 0.675, 0.055], [0.675, 0.325, 0.945], [0.675, 0.325, 0.555], [0.325, 0.675, 0.445], [0.930, 0.070, 0.250], [0.070, 0.930, 0.750], [0.764, 0.236, 0.250], [0.236, 0.764, 0.750]]
}


From most stable to least stable, the computed energies give Q, P.


P:
{
  "formula": "KCdGe3",
  "functional": "PBE",
  "state": "relaxed",
  "spacegroup": "No. 221",
  "lattice_angstrom": [[5.342, 0.000, 0.000], [0.000, 5.342, 0.000], [0.000, 0.000, 5.342]],
  "species": ["Ge", "Ge", "Ge", "K", "Cd"],
  "frac_coords": [[0.000, 0.500, 0.000], [0.000, 0.000, 0.500], [0.500, 0.000, 0.000], [0.500, 0.500, 0.500], [0.000, 0.000, 0.000]]
}


Q:
{
  "formula": "KCdGe3",
  "functional": "PBE",
  "state": "relaxed",
  "spacegroup": "No. 221",
  "lattice_angstrom": [[5.593, 0.000, 0.000], [0.000, 5.593, 0.000], [0.000, 0.000, 5.593]],
  "species": ["Ge", "Ge", "Ge", "K", "Cd"],
  "frac_coords": [[0.000, 0.500, 0.000], [0.000, 0.000, 0.500], [0.500, 0.000, 0.000], [0.000, 0.000, 0.000], [0.500, 0.500, 0.500]]
}


From most stable to least stable, the computed energies give P, Q.


P:
{
  "formula": "KCd3Ge",
  "functional": "PBE",
  "state": "relaxed",
  "spacegroup": "No. 221",
  "lattice_angstrom": [[5.531, 0.000, 0.000], [0.000, 5.531, 0.000], [0.000, 0.000, 5.531]],
  "species": ["Ge", "K", "Cd", "Cd", "Cd"],
  "frac_coords": [[0.000, 0.000, 0.000], [0.500, 0.500, 0.500], [0.000, 0.500, 0.000], [0.000, 0.000, 0.500], [0.500, 0.000, 0.000]]
}


Q:
{
  "formula": "KCd3Ge",
  "functional": "PBE",
  "state": "relaxed",
  "spacegroup": "No. 221",
  "lattice_angstrom": [[-3.154, -5.375, -1.410], [4.105, -3.346, 3.574], [-3.745, 0.858, 5.105]],
  "species": ["Ge", "K", "Cd", "Cd", "Cd"],
  "frac_coords": [[0.500, 0.500, 0.500], [0.000, 0.000, 0.000], [0.000, 0.500, 0.000], [0.000, 0.000, 0.500], [0.500, 0.000, 0.000]]
}


From most stable to least stable, the computed energies give P, Q.